# 1
Al2TcRh | GGA-PBE | relaxed

Energy relative to the lowest polymorph listed for this composition   0.3950 eV/atom
Crystal system   tetragonal
Mass density   7.10 g/cm3

abc: 2.7693 2.7693 7.7716
angles: 90.00 90.00 90.00
With the nearest neighbours (Å) after each atom.
Space group P4mm (No. 99)
Unique sites:
Al 0.0000 0.0000 0.0000 (multiplicity 1)  4 Tc 2.72, 8 Al 2.77-3.00
Al 0.5000 0.5000 0.2916 (multiplicity 1)  4 Rh 2.65, 4 Al 2.77
Tc 0.5000 0.5000 0.7569 (multiplicity 1)  4 Rh 2.68, 4 Al 2.72, 4 Tc 2.77
Rh 0.0000 0.0000 0.5217 (multiplicity 1)  4 Al 2.65, 4 Tc 2.68, 4 Rh 2.77


# 2
AlTc2Rh | GGA-PBE | relaxed

Electronic total energy   -33.22 eV for the cell shown
Crystal system   tetragonal
Mass density   9.53 g/cm3

abc: 2.8659 2.8659 6.9109
angles: 90.00 90.00 90.00
With the nearest neighbours (Å) after each atom.
Space group P4mm (No. 99)
Unique sites:
Al 0.0000 0.0000 0.0000 (multiplicity 1)  4 Rh 2.55, 4 Tc 2.66
Tc 0.0000 0.0000 0.5020 (multiplicity 1)  8 Tc 2.65-2.87, 4 Rh 2.79
Tc 0.5000 0.5000 0.7498 (multiplicity 1)  8 Tc 2.65-2.87, 4 Al 2.66
Rh 0.5000 0.5000 0.2251 (multiplicity 1)  4 Al 2.55, 4 Tc 2.79


# 3
AlTc2Rh | GGA-PBE | relaxed

Electronic total energy   -96.69 eV for the cell shown
Crystal system   trigonal
Mass density   9.36 g/cm3

abc: 2.7579 2.7579 26.3264
angles: 90.00 90.00 120.00
With the nearest neighbours (Å) after each atom.
Space group R-3m (No. 166, hexagonal axes)
Unique sites:
Al 0.0000 0.0000 0.0000 (multiplicity 3)  6 Tc 2.71, 6 Al 2.76
Tc 0.0000 0.0000 0.2501 (multiplicity 6)  3 Al 2.71, 3 Rh 2.71, 6 Tc 2.76
Rh 0.0000 0.0000 0.5000 (multiplicity 3)  6 Tc 2.71, 6 Rh 2.76


# 4
AlTcRh2 | GGA-PBE | relaxed

Electronic total energy   -60.76 eV for the cell shown
Crystal system   monoclinic
Mass density   9.63 g/cm3

abc: 8.9691 2.7772 4.6606
angles: 90.00 100.73 90.00
With the nearest neighbours (Å) after each atom.
Space group Cm (No. 8)
Unique sites:
Al 0.0000 0.0000 0.0000 (multiplicity 2)  7 Rh 2.59-2.72, 2 Al 2.78, 3 Tc 2.84-2.85
Tc 0.2560 0.5000 0.3136 (multiplicity 2)  7 Rh 2.59-2.74, 2 Tc 2.78, 3 Al 2.84-2.85
Rh 0.0021 0.5000 0.5015 (multiplicity 2)  3 Tc 2.59-2.62, 4 Al 2.71-2.72, 5 Rh 2.78-2.88
Rh 0.2568 0.0000 0.8219 (multiplicity 2)  3 Al 2.59, 4 Tc 2.68-2.74, 5 Rh 2.78-2.88


# 5
AlTcRh6 | GGA-PBE | relaxed

Electronic total energy   -60.72 eV for the cell shown
Crystal system   tetragonal
Mass density   10.91 g/cm3

abc: 3.8300 3.8300 7.7041
angles: 90.00 90.00 90.00
With the nearest neighbours (Å) after each atom.
Space group P4/mmm (No. 123)
Unique sites:
Al 0.0000 0.0000 0.0000 (multiplicity 1)  12 Rh 2.71-2.74
Tc 0.0000 0.0000 0.5000 (multiplicity 1)  12 Rh 2.69-2.71
Rh 0.0000 0.5000 0.2539 (multiplicity 4)  8 Rh 2.69-2.74, 2 Tc 2.69, 2 Al 2.74
Rh 0.5000 0.5000 0.0000 (multiplicity 1)  4 Al 2.71, 8 Rh 2.74
Rh 0.5000 0.5000 0.5000 (multiplicity 1)  8 Rh 2.69, 4 Tc 2.71


# 6
AlTcRh2 | GGA-PBE | relaxed

Electronic total energy   -30.12 eV for the cell shown
Crystal system   orthorhombic
Mass density   9.55 g/cm3

abc: 2.7837 3.8077 5.4251
angles: 90.00 90.00 90.00
With the nearest neighbours (Å) after each atom.
Space group Pmm2 (No. 25)
Unique sites:
Al 0.0000 0.0000 0.0000 (multiplicity 1)  6 Rh 2.59-2.73, 2 Al 2.78, 4 Tc 2.85
Tc 0.5000 0.5000 0.7064 (multiplicity 1)  6 Rh 2.60-2.77, 2 Tc 2.78, 4 Al 2.85
Rh 0.0000 0.0000 0.5025 (multiplicity 1)  4 Tc 2.60, 2 Al 2.70-2.73, 6 Rh 2.78-2.89
Rh 0.5000 0.5000 0.1961 (multiplicity 1)  4 Al 2.59, 2 Tc 2.66-2.77, 6 Rh 2.78-2.89


# 7
Al2TcRh | GGA-PBE | relaxed

Energy relative to the lowest polymorph listed for this composition   0.3420 eV/atom
Crystal system   orthorhombic
Mass density   7.28 g/cm3

abc: 3.0515 4.7410 8.0326
angles: 90.00 90.00 90.00
With the nearest neighbours (Å) after each atom.
Space group Immm (No. 71)
Unique sites:
Al 0.0000 0.0000 0.2466 (multiplicity 4)  2 Rh 2.50, 2 Tc 2.54
Tc 0.0000 0.5000 0.0000 (multiplicity 2)  4 Al 2.54, 4 Rh 2.82
Rh 0.0000 0.5000 0.5000 (multiplicity 2)  4 Al 2.50


# 8
AlTc2Rh | GGA-PBE | relaxed

Electronic total energy   -65.08 eV for the cell shown
Crystal system   monoclinic
Mass density   9.37 g/cm3

abc: 5.0237 8.3117 2.7662
angles: 90.00 90.25 90.00
With the nearest neighbours (Å) after each atom.
Space group C2/m (No. 12)
Unique sites:
Al 0.0000 0.0000 0.0000 (multiplicity 2)  2 Rh 2.51, 2 Al 2.77, 8 Tc 2.79-2.80
Tc 0.2500 0.2500 0.5000 (multiplicity 4)  4 Tc 2.51-2.77, 4 Al 2.79-2.80, 4 Rh 2.79-2.80
Rh 0.0000 0.5000 0.0000 (multiplicity 2)  2 Al 2.51, 2 Rh 2.77, 8 Tc 2.79-2.80


Look up the mass density of the eighth one.
9.37 g/cm3